This record from the Alexandria database describes an optimized crystal structure of AlHgWF2. The functional is GGA+U.

Calculated values
DOS at the Fermi energy: 0.15 states/eV/atom
Final energy: -3.827 eV per atom

```
AlHgWF2
1.0
3.8890 0.0000 0.0000
0.0000 5.9104 0.0000
0.0000 0.0000 3.8890
F Hg W Al
2 1 1 1
Direct
0.0000 0.0000 0.5000
0.5000 0.0000 0.0000
0.0000 0.5000 0.0000
0.5000 0.5000 0.5000
0.0000 0.0000 0.0000
```